Computed, not measured: LiTl2PbBr6 after structural relaxation at the PBE level of DFT.

Values from the calculation:
The uncorrected formation energy comes out at -0.88 eV/atom.

Lattice parameters (Å, degrees): 8.205 8.205 8.205 55.35 55.35 55.35
Atoms (fractional coordinates):
Li 0.000 0.000 0.000
Tl 0.305 0.305 0.305
Tl 0.792 0.792 0.792
Pb 0.500 0.500 0.500
Br 0.133 0.336 0.735
Br 0.221 0.893 0.616
Br 0.336 0.735 0.133
Br 0.616 0.221 0.893
Br 0.735 0.133 0.336
Br 0.893 0.616 0.221